# 1
## Tb2Be2ZnRh5 (GGA-PBE)

Data for an optimized crystal structure of Tb2Be2ZnRh5. Values from VASP.

## Properties
- formation energy (eV/atom) = -0.721

The structure in Quantum ESPRESSO input format:
```
&SYSTEM
  ibrav = 0, nat = 20, ntyp = 4
/
ATOMIC_SPECIES
Tb 158.93 Tb.upf
Be 9.01 Be.upf
Zn 65.41 Zn.upf
Rh 102.91 Rh.upf
ATOMIC_POSITIONS crystal
Tb 0.177 0.323 0.000
Tb 0.323 0.823 0.000
Tb 0.677 0.177 0.000
Tb 0.823 0.677 0.000
Be 0.121 0.621 0.000
Be 0.379 0.121 0.000
Be 0.621 0.879 0.000
Be 0.879 0.379 0.000
Zn 0.000 0.000 0.000
Zn 0.500 0.500 0.000
Rh 0.000 0.500 0.500
Rh 0.068 0.788 0.500
Rh 0.212 0.068 0.500
Rh 0.288 0.568 0.500
Rh 0.432 0.288 0.500
Rh 0.500 0.000 0.500
Rh 0.568 0.712 0.500
Rh 0.712 0.432 0.500
Rh 0.788 0.932 0.500
Rh 0.932 0.212 0.500
CELL_PARAMETERS angstrom
9.606 0.000 0.000
0.000 9.606 0.000
0.000 0.000 3.259
```

# 2
## Al2HgPb2 (GGA-PBE)

Data for an optimized crystal structure of Al2HgPb2. Values from VASP.

## Properties
- formation energy (eV/atom) = 0.142

The structure in Quantum ESPRESSO input format:
```
&SYSTEM
  ibrav = 0, nat = 10, ntyp = 3
/
ATOMIC_SPECIES
Al 26.98 Al.upf
Hg 200.59 Hg.upf
Pb 207.20 Pb.upf
ATOMIC_POSITIONS crystal
Al 0.133 0.367 0.000
Al 0.367 0.867 0.000
Al 0.633 0.133 0.000
Al 0.867 0.633 0.000
Hg 0.000 0.000 0.000
Hg 0.500 0.500 0.000
Pb 0.174 0.674 0.500
Pb 0.326 0.174 0.500
Pb 0.674 0.826 0.500
Pb 0.826 0.326 0.500
CELL_PARAMETERS angstrom
7.105 0.000 0.000
0.000 7.105 0.000
0.000 0.000 4.969
```

# 3
## HfSc2CrGa (GGA-PBE)

Data for an optimized crystal structure of HfSc2CrGa. Values from VASP.

## Properties
- formation energy (eV/atom) = 0.991

The structure in Quantum ESPRESSO input format:
```
&SYSTEM
  ibrav = 0, nat = 5, ntyp = 4
/
ATOMIC_SPECIES
Hf 178.49 Hf.upf
Sc 44.96 Sc.upf
Cr 52.00 Cr.upf
Ga 69.72 Ga.upf
ATOMIC_POSITIONS crystal
Hf 0.000 0.000 0.000
Sc 0.000 0.500 0.500
Sc 0.500 0.000 0.500
Cr 0.500 0.500 0.000
Ga 0.000 0.000 0.500
CELL_PARAMETERS angstrom
4.936 0.000 0.000
0.000 4.936 0.000
0.000 0.000 5.028
```

# 4
## DyBeGa2Ru2 (GGA-PBE)

Data for an optimized crystal structure of DyBeGa2Ru2. Values from VASP.

## Properties
- formation energy (eV/atom) = -0.442

The structure in Quantum ESPRESSO input format:
```
&SYSTEM
  ibrav = 0, nat = 6, ntyp = 4
/
ATOMIC_SPECIES
Dy 162.50 Dy.upf
Be 9.01 Be.upf
Ga 69.72 Ga.upf
Ru 101.07 Ru.upf
ATOMIC_POSITIONS crystal
Dy 0.000 0.000 0.000
Be 0.000 0.000 0.500
Ga 0.500 0.500 0.237
Ga 0.500 0.500 0.763
Ru 0.000 0.500 0.500
Ru 0.500 0.000 0.500
CELL_PARAMETERS angstrom
4.291 0.000 0.000
0.000 4.291 0.000
0.000 0.000 5.369
```

# 5
## Pu3UNi8 (GGA-PBE)

Data for an optimized crystal structure of Pu3UNi8. Values from VASP.

## Properties
- formation energy (eV/atom) = -0.279

The structure in Quantum ESPRESSO input format:
```
&SYSTEM
  ibrav = 0, nat = 12, ntyp = 3
/
ATOMIC_SPECIES
Pu 244.00 Pu.upf
U 238.03 U.upf
Ni 58.69 Ni.upf
ATOMIC_POSITIONS crystal
Pu 0.000 0.000 0.000
Pu 0.125 0.125 0.125
Pu 0.501 0.501 0.501
U 0.626 0.626 0.626
Ni 0.060 0.563 0.563
Ni 0.064 0.064 0.564
Ni 0.064 0.564 0.064
Ni 0.312 0.312 0.312
Ni 0.563 0.060 0.563
Ni 0.563 0.563 0.060
Ni 0.564 0.064 0.064
Ni 0.813 0.813 0.813
CELL_PARAMETERS angstrom
2.510 1.449 8.193
-2.510 1.449 8.193
0.000 -2.898 8.193
```

# 6
## La2MgSc (GGA-PBE)

Data for an optimized crystal structure of La2MgSc. Values from VASP.

## Properties
- formation energy (eV/atom) = 0.308

The structure in Quantum ESPRESSO input format:
```
&SYSTEM
  ibrav = 0, nat = 8, ntyp = 3
/
ATOMIC_SPECIES
La 138.91 La.upf
Mg 24.30 Mg.upf
Sc 44.96 Sc.upf
ATOMIC_POSITIONS crystal
La 0.124 0.625 0.999
La 0.375 0.374 0.499
La 0.626 0.125 0.001
La 0.875 0.876 0.501
Mg 0.000 0.000 0.000
Mg 0.750 0.250 0.500
Sc 0.250 0.750 0.500
Sc 0.500 0.500 0.000
CELL_PARAMETERS angstrom
-4.415 4.415 3.191
4.415 -4.415 3.191
4.415 4.415 -3.191
```

# 7
## CaSmCuPd (GGA-PBE)

Data for an optimized crystal structure of CaSmCuPd. Values from VASP.

## Properties
- formation energy (eV/atom) = -0.437

The structure in Quantum ESPRESSO input format:
```
&SYSTEM
  ibrav = 0, nat = 4, ntyp = 4
/
ATOMIC_SPECIES
Ca 40.08 Ca.upf
Sm 150.36 Sm.upf
Cu 63.55 Cu.upf
Pd 106.42 Pd.upf
ATOMIC_POSITIONS crystal
Ca 0.000 0.000 0.000
Sm 0.500 0.500 0.500
Cu 0.250 0.250 0.250
Pd 0.750 0.750 0.750
CELL_PARAMETERS angstrom
0.000 3.553 3.553
3.553 0.000 3.553
3.553 3.553 0.000
```

# 8
## Ac2InSiRh6 (GGA-PBE)

Data for an optimized crystal structure of Ac2InSiRh6. Values from VASP.

## Properties
- E_form (uncorrected) (kJ per mole of atoms) = -33.9

The structure in Quantum ESPRESSO input format:
```
&SYSTEM
  ibrav = 0, nat = 10, ntyp = 4
/
ATOMIC_SPECIES
Ac 227.00 Ac.upf
In 114.82 In.upf
Si 28.09 Si.upf
Rh 102.91 Rh.upf
ATOMIC_POSITIONS crystal
Ac 0.250 0.250 0.250
Ac 0.750 0.750 0.750
In 0.000 0.000 0.000
Si 0.500 0.500 0.500
Rh 0.266 0.266 0.734
Rh 0.266 0.734 0.266
Rh 0.266 0.734 0.734
Rh 0.734 0.266 0.266
Rh 0.734 0.266 0.734
Rh 0.734 0.734 0.266
CELL_PARAMETERS angstrom
0.000 4.738 4.738
4.738 0.000 4.738
4.738 4.738 0.000
```

# 9
## InTePb (GGA-PBE)

Data for an optimized crystal structure of InTePb. Values from VASP.

## Properties
- E_form (uncorrected) (kJ per mole of atoms) = -3.5

The structure in Quantum ESPRESSO input format:
```
&SYSTEM
  ibrav = 0, nat = 3, ntyp = 3
/
ATOMIC_SPECIES
In 114.82 In.upf
Te 127.60 Te.upf
Pb 207.20 Pb.upf
ATOMIC_POSITIONS crystal
In 0.000 0.000 0.000
Te 0.333 0.667 0.491
Pb 0.667 0.333 0.494
CELL_PARAMETERS angstrom
5.753 0.000 0.000
-2.876 4.982 0.000
0.000 0.000 3.253
```

# 10
## YTaZn2 (GGA-PBE)

Data for an optimized crystal structure of YTaZn2. Values from VASP.

## Properties
- formation energy (eV/atom) = -0.032

The structure in Quantum ESPRESSO input format:
```
&SYSTEM
  ibrav = 0, nat = 4, ntyp = 3
/
ATOMIC_SPECIES
Y 88.91 Y.upf
Ta 180.95 Ta.upf
Zn 65.41 Zn.upf
ATOMIC_POSITIONS crystal
Y 0.000 0.000 0.000
Ta 0.000 0.000 0.500
Zn 0.500 0.500 0.287
Zn 0.500 0.500 0.713
CELL_PARAMETERS angstrom
3.067 0.000 0.000
0.000 3.828 0.000
0.000 0.000 6.434
```

# 11
## Sr2Mg12Ag5 (GGA-PBE)

Data for an optimized crystal structure of Sr2Mg12Ag5. Values from VASP.

## Properties
- formation energy (eV/atom) = -0.143

The structure in Quantum ESPRESSO input format:
```
&SYSTEM
  ibrav = 0, nat = 19, ntyp = 3
/
ATOMIC_SPECIES
Sr 87.62 Sr.upf
Mg 24.30 Mg.upf
Ag 107.87 Ag.upf
ATOMIC_POSITIONS crystal
Sr 0.154 0.154 0.154
Sr 0.846 0.846 0.846
Mg 0.161 0.161 0.627
Mg 0.161 0.627 0.161
Mg 0.213 0.500 0.787
Mg 0.213 0.787 0.500
Mg 0.373 0.839 0.839
Mg 0.500 0.213 0.787
Mg 0.500 0.787 0.213
Mg 0.627 0.161 0.161
Mg 0.787 0.213 0.500
Mg 0.787 0.500 0.213
Mg 0.839 0.373 0.839
Mg 0.839 0.839 0.373
Ag 0.000 0.500 0.500
Ag 0.401 0.401 0.401
Ag 0.500 0.000 0.500
Ag 0.500 0.500 0.000
Ag 0.599 0.599 0.599
CELL_PARAMETERS angstrom
5.109 2.950 4.910
-5.109 2.950 4.910
0.000 -5.899 4.910
```

# 12
## ErHfAlTc (GGA-PBE)

Data for an optimized crystal structure of ErHfAlTc. Values from VASP.

## Properties
- formation energy (eV/atom) = -0.275

The structure in Quantum ESPRESSO input format:
```
&SYSTEM
  ibrav = 0, nat = 4, ntyp = 4
/
ATOMIC_SPECIES
Er 167.26 Er.upf
Hf 178.49 Hf.upf
Al 26.98 Al.upf
Tc 98.00 Tc.upf
ATOMIC_POSITIONS crystal
Er 0.000 0.000 0.000
Hf 0.500 0.500 0.500
Al 0.750 0.750 0.750
Tc 0.250 0.250 0.250
CELL_PARAMETERS angstrom
0.000 3.391 3.391
3.391 0.000 3.391
3.391 3.391 0.000
```

# 13
## LiMgSi2 (GGA-PBE)

Data for an optimized crystal structure of LiMgSi2. Values from VASP.

## Properties
- E_form (uncorrected) (kJ per mole of atoms) = 8.7

The structure in Quantum ESPRESSO input format:
```
&SYSTEM
  ibrav = 0, nat = 4, ntyp = 3
/
ATOMIC_SPECIES
Li 6.94 Li.upf
Mg 24.30 Mg.upf
Si 28.09 Si.upf
ATOMIC_POSITIONS crystal
Li 0.000 0.000 0.000
Mg 0.500 0.500 0.500
Si 0.253 0.253 0.253
Si 0.747 0.747 0.747
CELL_PARAMETERS angstrom
1.443 0.833 9.003
-1.443 0.833 9.003
0.000 -1.666 9.003
```

# 14
## ZnRu2Rh (GGA-PBE)

Data for an optimized crystal structure of ZnRu2Rh. Values from VASP.

## Properties
- formation energy (eV/atom) = 0.106

The structure in Quantum ESPRESSO input format:
```
&SYSTEM
  ibrav = 0, nat = 4, ntyp = 3
/
ATOMIC_SPECIES
Zn 65.41 Zn.upf
Ru 101.07 Ru.upf
Rh 102.91 Rh.upf
ATOMIC_POSITIONS crystal
Zn 0.000 0.000 0.000
Ru 0.500 0.500 0.252
Ru 0.500 0.500 0.748
Rh 0.000 0.000 0.500
CELL_PARAMETERS angstrom
2.716 0.000 0.000
0.000 2.716 0.000
0.000 0.000 7.603
```

# 15
## Th2AlSi3Pt12 (GGA-PBE)

Data for an optimized crystal structure of Th2AlSi3Pt12. Values from VASP.

## Properties
- E_form (uncorrected) (kJ per mole of atoms) = -61.4

The structure in Quantum ESPRESSO input format:
```
&SYSTEM
  ibrav = 0, nat = 18, ntyp = 4
/
ATOMIC_SPECIES
Th 232.04 Th.upf
Al 26.98 Al.upf
Si 28.09 Si.upf
Pt 195.08 Pt.upf
ATOMIC_POSITIONS crystal
Th 0.114 0.114 0.114
Th 0.886 0.886 0.886
Al 0.500 0.500 0.500
Si 0.000 0.500 0.500
Si 0.500 0.000 0.500
Si 0.500 0.500 0.000
Pt 0.127 0.628 0.628
Pt 0.142 0.142 0.606
Pt 0.142 0.606 0.142
Pt 0.372 0.372 0.873
Pt 0.372 0.873 0.372
Pt 0.394 0.858 0.858
Pt 0.606 0.142 0.142
Pt 0.628 0.127 0.628
Pt 0.628 0.628 0.127
Pt 0.858 0.394 0.858
Pt 0.858 0.858 0.394
Pt 0.873 0.372 0.372
CELL_PARAMETERS angstrom
4.085 2.359 6.122
-4.085 2.359 6.122
0.000 -4.717 6.122
```

# 16
## TiVTe2 (GGA-PBE)

Data for an optimized crystal structure of TiVTe2. Values from VASP.

## Properties
- E_form (uncorrected) (kJ per mole of atoms) = 10.5

The structure in Quantum ESPRESSO input format:
```
&SYSTEM
  ibrav = 0, nat = 4, ntyp = 3
/
ATOMIC_SPECIES
Ti 47.87 Ti.upf
V 50.94 V.upf
Te 127.60 Te.upf
ATOMIC_POSITIONS crystal
Ti 0.000 0.000 0.000
V 0.500 0.500 0.500
Te 0.101 0.101 0.101
Te 0.899 0.899 0.899
CELL_PARAMETERS angstrom
1.720 0.993 9.142
-1.720 0.993 9.142
0.000 -1.986 9.142
```

# 17
## Zn2CdBi2 (GGA-PBE)

Data for an optimized crystal structure of Zn2CdBi2. Values from VASP.

## Properties
- formation energy (eV/atom) = 0.202

The structure in Quantum ESPRESSO input format:
```
&SYSTEM
  ibrav = 0, nat = 5, ntyp = 3
/
ATOMIC_SPECIES
Zn 65.41 Zn.upf
Cd 112.41 Cd.upf
Bi 208.98 Bi.upf
ATOMIC_POSITIONS crystal
Zn 0.101 0.101 0.000
Zn 0.899 0.899 0.000
Cd 0.500 0.500 0.000
Bi 0.250 0.750 0.500
Bi 0.750 0.250 0.500
CELL_PARAMETERS angstrom
-2.410 2.410 5.905
2.410 -2.410 5.905
2.410 2.410 -5.905
```

# 18
## ZrCuB3 (GGA-PBE)

Data for an optimized crystal structure of ZrCuB3. Values from VASP.

## Properties
- formation energy (eV/atom) = 1.991

The structure in Quantum ESPRESSO input format:
```
&SYSTEM
  ibrav = 0, nat = 5, ntyp = 3
/
ATOMIC_SPECIES
Zr 91.22 Zr.upf
Cu 63.55 Cu.upf
B 10.81 B.upf
ATOMIC_POSITIONS crystal
Zr 0.000 0.000 0.000
Cu 0.500 0.500 0.500
B 0.000 0.000 0.500
B 0.000 0.500 0.000
B 0.500 0.000 0.000
CELL_PARAMETERS angstrom
4.375 0.000 0.000
0.000 4.375 0.000
0.000 0.000 4.375
```

# 19
## Mn4Au5 (GGA-PBE)

Data for an optimized crystal structure of Mn4Au5. Values from VASP.

## Properties
- formation energy (eV/atom) = 0.028

The structure in Quantum ESPRESSO input format:
```
&SYSTEM
  ibrav = 0, nat = 18, ntyp = 2
/
ATOMIC_SPECIES
Mn 54.94 Mn.upf
Au 196.97 Au.upf
ATOMIC_POSITIONS crystal
Mn 0.000 0.000 0.000
Mn 0.000 0.000 0.500
Mn 0.000 0.353 0.250
Mn 0.000 0.647 0.750
Mn 0.353 0.000 0.250
Mn 0.353 0.353 0.750
Mn 0.647 0.000 0.750
Mn 0.647 0.647 0.250
Au 0.000 0.306 0.750
Au 0.000 0.694 0.250
Au 0.306 0.000 0.750
Au 0.306 0.306 0.250
Au 0.333 0.667 0.000
Au 0.333 0.667 0.500
Au 0.667 0.333 0.000
Au 0.667 0.333 0.500
Au 0.694 0.000 0.250
Au 0.694 0.694 0.750
CELL_PARAMETERS angstrom
7.935 0.000 0.000
-3.968 6.872 0.000
0.000 0.000 5.598
```

# 20
## PmHo2TmS4 (GGA-PBE)

Data for an optimized crystal structure of PmHo2TmS4. Values from VASP.

## Properties
- E_form (uncorrected) (kJ per mole of atoms) = -190.1

The structure in Quantum ESPRESSO input format:
```
&SYSTEM
  ibrav = 0, nat = 8, ntyp = 4
/
ATOMIC_SPECIES
Pm 145.00 Pm.upf
Ho 164.93 Ho.upf
Tm 168.93 Tm.upf
S 32.06 S.upf
ATOMIC_POSITIONS crystal
Pm 0.000 0.000 0.000
Ho 0.500 0.000 0.500
Ho 0.500 0.500 0.000
Tm 0.000 0.500 0.500
S 0.251 0.000 0.742
S 0.258 0.500 0.261
S 0.742 0.500 0.739
S 0.749 0.000 0.258
CELL_PARAMETERS angstrom
6.767 0.000 0.000
0.000 3.870 0.000
-2.219 0.000 6.468
```

For the records above, the corresponding DFT total energy values read -6.20 -2.90 -6.06 -5.93 -8.66 -4.14 -4.44 -6.40 -3.23 -5.25 -2.08 -7.43 -3.50 -6.69 -6.60 -5.72 -2.04 -4.54 -5.87 -6.33 eV/atom.